(1)
{"formula": "HgGeSe2Br", "functional": "PBE-GGA", "state": "relaxed", "lattice": [[-1.6830, 2.9782, 3.9868], [1.5243, -3.6978, 3.4058], [4.8740, 2.3129, 0.3298]], "species": ["Ge", "Se", "Se", "Hg", "Br"], "fractional_positions": [[0.5000, 0.5000, 0.5000], [0.0000, 0.5000, 0.0000], [0.5000, 0.0000, 0.0000], [0.0000, 0.0000, 0.0000], [0.0000, 0.0000, 0.5000]], "m_tot_mub_per_atom": 0.000, "sg": "P4/mmm, No. 123"}

***

(2)
{"formula": "LiAsN2F", "functional": "PBE-GGA", "state": "relaxed", "lattice": [[-0.0757, -3.7674, 1.3667], [-1.0016, -1.3058, -3.6550], [3.2430, -0.3431, -0.7662]], "species": ["As", "N", "N", "Li", "F"], "fractional_positions": [[0.5000, 0.5000, 0.5000], [0.0000, 0.5000, 0.0000], [0.5000, 0.0000, 0.0000], [0.0000, 0.0000, 0.0000], [0.0000, 0.0000, 0.5000]], "m_tot_mub_per_atom": 0.600, "sg": "P4/mmm, No. 123"}

***

| no. | formation energy without anion corrections (eV per atom) | energy above the most stable polymorph in this dataset (meV per atom) |
| --- | --- | --- |
| 1 | 0.526 | 349 |
| 2 | 0.859 | 750 |